Entry 1:
The following is a DFT calculation (PBE-GGA) of an optimized crystal structure of POs3Cl.

Calculated values
symmetry = No. 221
density = 11.974 g/cm3
E_form (uncorrected) = 1.57 eV/atom

abc: 4.454 4.454 4.454
angles: 90.00 90.00 90.00
Sites, in units of the cell vectors:
1 P 0.000 0.000 0.000
2 Os 0.000 0.500 0.000
3 Os 0.000 0.000 0.500
4 Os 0.500 0.000 0.000
5 Cl 0.500 0.500 0.500

Entry 2:
The following is a DFT calculation (PBE-GGA) of an optimized crystal structure of Nd3Zn4Cd4.

Calculated values
symmetry = No. 2
density = 7.391 g/cm3
raw total energy = -26.2 eV per cell

abc: 3.775 4.702 14.790
angles: 80.90 82.66 90.01
Sites, in units of the cell vectors:
1 Nd 0.143 0.643 0.714
2 Nd 0.857 0.357 0.286
3 Nd 0.000 0.000 0.000
4 Zn 0.547 0.546 0.910
5 Zn 0.453 0.454 0.090
6 Zn 0.315 0.815 0.372
7 Zn 0.685 0.185 0.628
8 Cd 0.593 0.094 0.814
9 Cd 0.258 0.259 0.483
10 Cd 0.742 0.741 0.517
11 Cd 0.407 0.907 0.186

Entry 3:
The following is a DFT calculation (PBE-GGA) of an optimized crystal structure of Li2AgHgO4.

Calculated values
symmetry = No. 23
density = 6.160 g/cm3
E_form (uncorrected) = -0.48 eV/atom

abc: 5.425 5.186 5.186
angles: 82.06 58.46 58.46
Sites, in units of the cell vectors:
1 Li 0.500 0.748 0.252
2 Li 0.500 0.252 0.748
3 Ag 0.000 0.500 0.500
4 Hg 0.000 0.000 0.000
5 O 0.646 0.467 0.911
6 O 0.354 0.089 0.533
7 O 0.024 0.533 0.089
8 O 0.976 0.911 0.467

The following DOS at the Fermi energy values (in states/eV/f.u.) correspond, in order, to the records above: 5.32, 9.36, 2.08.